(1)
The following is a DFT calculation (PBE) of a relaxed Pm2RhPb2 crystal.

```
10
Lattice="4.517 0.002 0.850 2.292 5.687 0.210 0.358 -0.264 10.535" Properties=species:S:1:pos:R:3 pbc="T T T"
Pm 2.034 4.283 1.587
Pm 5.133 1.142 10.007
Pm 3.262 3.610 7.496
Pm 3.906 1.816 4.099
Pb 1.229 1.193 5.914
Pb 2.048 1.031 1.555
Pb 5.120 4.394 10.039
Pb 5.939 4.232 5.681
Rh 3.235 0.503 7.681
Rh 3.933 4.922 3.913
```

**Theoretical density**: 9.983 g/cm3
**ΔE_f**: -0.58 eV per atom
**Calculated total energy**: -54.4 eV for the cell shown



(2)
The following is a DFT calculation (PBE) of a relaxed Pu3Tc2Pb crystal.

```
6
Lattice="3.268 0.000 0.000 0.000 3.268 0.000 0.000 0.000 12.379" Properties=species:S:1:pos:R:3 pbc="T T T"
Tc 1.634 1.634 10.645
Tc 1.634 1.634 1.734
Pb 1.634 1.634 6.189
Pu 0.000 0.000 8.826
Pu 0.000 0.000 3.553
Pu 0.000 0.000 0.000
```

**Theoretical density**: 14.255 g/cm3
**ΔE_f**: -0.03 eV per atom
**Calculated total energy**: -67.6 eV for the cell shown



(3)
The following is a DFT calculation (PBE) of a relaxed CsPu2Br8 crystal.

```
11
Lattice="-4.647 0.409 -3.250 1.192 -9.945 -2.955 -5.703 2.291 8.446" Properties=species:S:1:pos:R:3 pbc="T T T"
Cs -5.703 2.291 8.446
Br -3.933 -2.938 -1.840
Br -5.225 -4.307 4.081
Br -3.383 -7.394 -3.186
Br -2.112 -5.778 0.142
Br -5.774 0.149 5.428
Br -3.210 -0.854 1.634
Br -5.948 -6.391 0.607
Br -7.046 -1.467 2.099
Pu -4.444 -5.572 -1.489
Pu -4.714 -1.672 3.730
```

**Formation energy without anion corrections**: -1.366 eV per atom
**Theoretical density**: 3.897 g/cm3
**Calculated total energy**: -57.9 eV for the cell shown



(4)
The following is a DFT calculation (PBE) of a relaxed PmNd2Al crystal.

```
4
Lattice="-5.013 1.481 -1.727 -4.389 -0.889 3.202 -2.585 4.245 2.368" Properties=species:S:1:pos:R:3 pbc="T T T"
Nd -2.997 1.209 0.961
Nd -8.990 3.628 2.882
Al -5.993 2.418 1.922
Pm 0.000 0.000 0.000
```

**Theoretical density**: 6.481 g/cm3
**ΔE_f**: -0.02 eV per atom
**Calculated total energy**: -18.1 eV for the cell shown



(5)
The following is a DFT calculation (PBE) of a relaxed NdAg2Pb2 crystal.

```
10
Lattice="-2.651 -2.174 -3.116 -0.332 -3.647 2.827 -8.303 5.777 6.479" Properties=species:S:1:pos:R:3 pbc="T T T"
Pb -2.380 0.207 1.881
Pb -8.906 -0.252 4.309
Pb -6.215 0.342 1.605
Pb -5.071 -0.387 4.585
Nd -4.219 -2.535 1.914
Nd -7.067 2.490 4.276
Ag -0.957 -2.391 2.482
Ag -2.111 -1.657 -0.492
Ag -10.329 2.346 3.708
Ag -9.175 1.612 6.682
```

**Theoretical density**: 10.179 g/cm3
**ΔE_f**: -0.25 eV per atom
**Calculated total energy**: -38.3 eV for the cell shown



(6)
The following is a DFT calculation (PBE) of a relaxed Ba2Hg6Au3 crystal.

```
11
Lattice="4.680 0.000 0.000 0.000 8.760 0.000 0.000 -4.380 7.586" Properties=species:S:1:pos:R:3 pbc="T T T"
Ba 0.000 0.000 5.057
Ba 0.000 4.380 2.529
Au 2.340 1.706 2.955
Au 2.340 5.347 0.000
Au 2.340 -2.673 4.631
Hg 2.340 3.114 5.393
Hg 0.000 0.872 1.510
Hg 2.340 -1.266 2.193
Hg 0.000 7.016 0.000
Hg 2.340 2.532 0.000
Hg 0.000 -3.508 6.076
```

**Theoretical density**: 11.049 g/cm3
**ΔE_f**: -0.36 eV per atom
**Calculated total energy**: -19.5 eV for the cell shown



(7)
The following is a DFT calculation (PBE) of a relaxed HgTe2Pt crystal.

```
4
Lattice="2.392 0.000 7.927 -1.196 2.071 7.927 -1.196 -2.071 7.927" Properties=species:S:1:pos:R:3 pbc="T T T"
Te 0.000 0.000 15.543
Te 0.000 0.000 3.056
Hg 0.000 0.000 12.539
Pt 0.000 0.000 22.393
```

**Formation energy without anion corrections**: 0.060 eV per atom
**Theoretical density**: 9.173 g/cm3
**Calculated total energy**: -12.4 eV for the cell shown



(8)
The following is a DFT calculation (PBE) of a relaxed KCd3 crystal.

```
4
Lattice="4.920 0.000 0.000 0.000 4.920 0.000 0.000 0.000 4.920" Properties=species:S:1:pos:R:3 pbc="T T T"
Cd 2.460 2.460 0.000
Cd 0.000 2.460 2.460
Cd 2.460 0.000 2.460
K 0.000 0.000 0.000
```

**Theoretical density**: 5.247 g/cm3
**ΔE_f**: 0.04 eV per atom
**Calculated total energy**: -3.7 eV for the cell shown



(9)
The following is a DFT calculation (PBE) of a relaxed PaTiAl4 crystal.

```
6
Lattice="5.377 0.000 0.000 2.688 4.656 0.000 2.688 1.552 4.390" Properties=species:S:1:pos:R:3 pbc="T T T"
Pa 2.688 1.552 1.097
Al 4.032 3.880 2.744
Al 5.377 1.552 2.744
Al 5.377 3.104 0.548
Al 6.721 3.880 2.744
Ti 0.000 0.000 0.000
```

**Theoretical density**: 5.845 g/cm3
**ΔE_f**: -0.20 eV per atom
**Calculated total energy**: -33.5 eV for the cell shown